(1)
ScInI2N (PBE-GGA, relaxed); E = -22.3 eV/cell; E_form (uncorrected) = -0.36 eV per atom; relative energy among the computed polymorphs = 0 meV/atom; V = 29.91 Å³ per atom; symmetry = No. 123
1.0
-5.580 2.276 0.791
-0.521 -3.088 5.209
1.567 3.139 2.018
I In N Sc
2 1 1 1
Cartesian
-2.790 1.138 0.396
-0.261 -1.544 2.605
-2.267 1.164 4.009
0.783 1.570 1.009
0.000 0.000 0.000

(2)
Ac6Ir3Au2I (PBE-GGA, relaxed); E = -69.3 eV/cell; E_form (uncorrected) = -0.83 eV per atom; V = 32.86 Å³ per atom; symmetry = No. 12
1.0
4.381 0.000 0.000
0.000 9.377 -0.043
-2.190 -3.099 9.613
Ac Ir I Au
6 3 1 2
Cartesian
2.190 -0.373 9.409
0.000 1.638 6.519
2.190 4.640 3.051
0.000 6.650 0.160
0.000 6.823 6.115
2.190 -0.545 3.454
0.000 6.750 3.148
2.190 4.689 -0.022
2.190 -0.472 6.422
2.190 0.000 0.000
0.000 2.044 3.124
2.190 4.234 6.445

(3)
Y8Ir (PBE-GGA, relaxed); E = -61.4 eV/cell; V = 29.75 Å³ per atom; symmetry = No. 139; energy relative to the elements = -0.091 eV per atom
1.0
2.757 -7.177 -3.977
-4.192 4.458 6.122
-6.274 1.304 -5.820
Y Ir
8 1
Cartesian
-6.956 3.830 0.201
-1.696 0.280 2.495
0.261 -2.998 -0.350
-1.179 -1.970 -3.285
-3.510 1.932 0.101
-2.687 -1.375 -0.265
-5.022 -0.040 -3.410
-2.338 -3.904 -6.511
0.000 0.000 0.000

(4)
LiTbPb (PBE-GGA, relaxed); E = -11.2 eV/cell; V = 24.73 Å³ per atom; symmetry = No. 216; energy relative to the elements = -0.319 eV per atom
1.0
-1.206 -0.048 4.560
-3.375 -2.926 1.517
1.125 -3.701 2.698
Li Tb Pb
1 1 1
Cartesian
-0.864 -1.669 2.194
-1.727 -3.338 4.387
0.000 0.000 0.000

(5)
CdTc2W (PBE-GGA, relaxed); E = -33.1 eV/cell; V = 16.68 Å³ per atom; symmetry = No. 47; energy relative to the elements = 0.363 eV per atom
1.0
2.938 0.000 0.000
0.000 3.802 0.000
0.000 0.000 5.974
Tc W Cd
2 1 1
Cartesian
0.000 0.000 0.230
0.000 0.000 2.757
1.469 1.901 1.493
1.469 1.901 4.480

(6)
CsPuHf2O8 (PBE-GGA, relaxed); E = -107.0 eV/cell; E_form (uncorrected) = -2.69 eV per atom; V = 18.30 Å³ per atom; symmetry = No. 12
1.0
5.460 0.837 0.637
0.879 5.455 0.628
0.932 0.941 7.747
O Pu Cs Hf
8 1 1 2
Cartesian
2.227 2.223 7.259
2.626 5.069 6.961
4.645 2.164 2.051
2.195 4.630 2.046
2.741 2.728 4.408
5.044 5.010 1.753
5.076 2.603 6.966
4.530 4.505 4.604
0.000 0.000 0.000
0.466 0.470 3.873
3.536 3.521 6.070
3.735 3.712 2.942

(7)
SrBH6 (PBE-GGA, relaxed); E = -28.4 eV/cell; V = 7.63 Å³ per atom; symmetry = No. 12
1.0
4.351 1.563 0.000
3.005 7.503 0.000
1.502 3.751 2.184
H Sr B
6 1 1
Cartesian
2.662 3.470 0.000
4.693 5.596 0.000
5.865 7.585 1.247
2.993 5.232 0.938
4.495 8.984 1.247
4.363 3.834 0.938
0.000 0.000 0.000
3.678 4.533 0.000

(8)
CoRu (PBE-GGA, relaxed); E = -47.9 eV/cell; V = 12.51 Å³ per atom; symmetry = No. 166; energy relative to the elements = 0.200 eV per atom
1.0
-2.057 -1.340 0.926
2.381 -1.101 -0.022
2.218 4.562 11.525
Ru Co
3 3
Cartesian
1.272 -0.421 2.215
1.271 2.541 10.215
1.109 2.281 5.763
0.162 0.260 4.452
2.381 1.860 7.977
0.000 0.000 0.000

Q: V of number 1 (ScInI2N)?
A: 29.91 Å³ per atom

Q: Which value of V does entry 8 give?
A: 12.51 Å³ per atom

Q: Which formula does entry 4 have?
A: LiTbPb